Density functional theory data (PBE) for an optimized crystal structure of SrCa2Zn2.

Cell lengths 5.537, 4.544, 12.901 Å; angles 90.00, 98.04, 90.00 degrees
Fractional positions:
1 Sr 0.179 0.250 0.243
2 Sr 0.821 0.750 0.757
3 Ca 0.247 0.750 0.494
4 Ca 0.361 0.250 0.892
5 Ca 0.639 0.750 0.108
6 Ca 0.753 0.250 0.506
7 Zn 0.104 0.750 0.010
8 Zn 0.304 0.250 0.653
9 Zn 0.696 0.750 0.347
10 Zn 0.896 0.250 0.990

Results
- E above lowest polymorph: 6.5 kJ per mole of atoms
- Symmetry: No. 11
- VASP energy: -1.773 eV per atom